Entry 1:
A geometry-optimized ZnPt4 structure, computed with PBE.

```
ZnPt4
1.0
-3.836 2.843 1.520
-0.313 -2.384 -4.592
-0.372 -2.738 4.181
Pt Zn
4 1
direct
0.669 0.337 0.669 Pt
0.331 0.663 0.331 Pt
0.250 0.500 0.750 Pt
0.750 0.500 0.250 Pt
0.000 0.000 0.000 Zn
```

Properties
- DFT formation energy (meV per atom) = 290
- final energy (eV per atom) = -4.80
- distance to the lowest polymorph of the same formula (meV per atom) = 530
- density of states at the Fermi level (states/eV/f.u.) = 7.12


Entry 2:
A geometry-optimized Zn6Pt5 structure, computed with PBE.

```
Zn6Pt5
1.0
-4.348 -0.694 -0.312
0.436 -0.132 -5.783
2.984 -6.125 3.274
Zn Pt
6 5
direct
0.838 0.078 0.676 Zn
0.162 0.402 0.324 Zn
0.500 0.231 0.000 Zn
0.162 0.922 0.324 Zn
0.500 0.769 0.000 Zn
0.838 0.598 0.676 Zn
0.000 0.500 0.000 Pt
0.669 0.169 0.339 Pt
0.339 0.339 0.678 Pt
0.331 0.831 0.661 Pt
0.661 0.661 0.322 Pt
```

Properties
- DFT formation energy (meV per atom) = -511
- final energy (eV per atom) = -3.95
- density of states at the Fermi level (states/eV/f.u.) = 2.23


Entry 3:
A geometry-optimized ZnPt3 structure, computed with PBE.

```
ZnPt3
1.0
2.802 0.000 0.000
-1.401 4.626 0.010
0.000 -0.975 4.702
Pt Zn
3 1
direct
0.250 0.500 0.750 Pt
0.006 0.012 0.004 Pt
0.494 0.988 0.496 Pt
0.750 0.500 0.250 Zn
```

Properties
- DFT formation energy (meV per atom) = -303
- final energy (eV per atom) = -5.15
- density of states at the Fermi level (states/eV/f.u.) = 3.65


Entry 4:
A geometry-optimized Zn2Pt structure, computed with PBE.

```
Zn2Pt
1.0
-1.168 9.967 6.397
-4.250 7.874 7.846
3.895 -9.689 -5.708
Zn Pt
4 2
direct
0.327 0.827 0.500 Zn
0.577 0.577 0.000 Zn
0.173 0.673 0.500 Zn
0.423 0.423 0.000 Zn
0.000 0.000 0.000 Pt
0.750 0.250 0.500 Pt
```

Properties
- DFT formation energy (meV per atom) = -333
- final energy (eV per atom) = -3.20
- density of states at the Fermi level (states/eV/f.u.) = 0.97


Entry 5:
A geometry-optimized Zr2ZnPt4 structure, computed with PBE.

```
Zr2ZnPt4
1.0
-3.002 2.658 2.224
-3.403 -1.704 -2.557
2.223 -5.442 4.778
Pt Zn Zr
4 1 2
direct
0.818 0.818 0.636 Pt
0.500 0.000 0.000 Pt
0.000 0.500 0.000 Pt
0.182 0.182 0.364 Pt
0.000 0.000 0.000 Zn
0.635 0.635 0.269 Zr
0.365 0.365 0.731 Zr
```

Properties
- DFT formation energy (meV per atom) = -134
- final energy (eV per atom) = -6.21
- density of states at the Fermi level (states/eV/f.u.) = 3.30


Entry 6:
A geometry-optimized Zr3ZnPt structure, computed with PBE.

```
Zr3ZnPt
1.0
-0.862 4.277 2.638
-2.605 -2.669 3.477
4.297 -0.759 2.636
Pt Zr Zn
1 3 1
direct
0.000 0.000 0.000 Pt
0.500 0.000 0.000 Zr
0.000 0.000 0.500 Zr
0.000 0.500 0.000 Zr
0.500 0.500 0.500 Zn
```

Properties
- DFT formation energy (meV per atom) = 284
- final energy (eV per atom) = -6.31
- distance to the lowest polymorph of the same formula (meV per atom) = 0
- density of states at the Fermi level (states/eV/f.u.) = 8.68


Entry 7:
A geometry-optimized ZrZn4Pt5 structure, computed with PBE.

```
ZrZn4Pt5
1.0
-0.062 -2.518 -1.779
2.831 0.659 -1.031
6.412 -8.679 12.059
Pt Zn Zr
5 4 1
direct
0.500 0.500 0.500 Pt
0.500 0.500 0.118 Pt
0.500 0.500 0.689 Pt
0.500 0.500 0.311 Pt
0.500 0.500 0.882 Pt
0.000 0.000 0.215 Zn
0.000 0.000 0.406 Zn
0.000 0.000 0.594 Zn
0.000 0.000 0.785 Zn
0.000 0.000 0.000 Zr
```

Properties
- DFT formation energy (meV per atom) = -634
- final energy (eV per atom) = -5.02
- density of states at the Fermi level (states/eV/f.u.) = 5.90


Entry 8:
A geometry-optimized Zr6Zn3Pt structure, computed with PBE.

```
Zr6Zn3Pt
1.0
-0.081 0.907 4.608
3.593 -7.292 1.498
9.578 4.569 -0.730
Zr Zn Pt
12 6 2
direct
0.500 0.829 0.085 Zr
0.500 0.500 0.253 Zr
0.000 0.663 0.906 Zr
0.500 0.171 0.915 Zr
0.000 0.000 0.753 Zr
0.000 0.000 0.247 Zr
0.500 0.163 0.594 Zr
0.500 0.500 0.747 Zr
0.500 0.837 0.406 Zr
0.000 0.671 0.585 Zr
0.000 0.329 0.415 Zr
0.000 0.337 0.094 Zr
0.000 0.333 0.774 Zn
0.500 0.500 0.000 Zn
0.000 0.667 0.226 Zn
0.500 0.833 0.726 Zn
0.000 0.000 0.500 Zn
0.500 0.167 0.274 Zn
0.500 0.500 0.500 Pt
0.000 0.000 0.000 Pt
```

Properties
- DFT formation energy (meV per atom) = -220
- final energy (eV per atom) = -6.33
- density of states at the Fermi level (states/eV/f.u.) = 10.23


Entry 9:
A geometry-optimized Zr11Zn9Pt4 structure, computed with PBE.

```
Zr11Zn9Pt4
1.0
-0.403 1.948 2.722
3.859 -9.070 7.065
8.871 7.289 -3.905
Zr Zn Pt
11 9 4
direct
0.000 0.000 0.000 Zr
0.000 0.168 0.832 Zr
0.000 0.276 0.276 Zr
0.000 0.361 0.639 Zr
0.000 0.639 0.361 Zr
0.000 0.594 0.943 Zr
0.000 0.406 0.057 Zr
0.000 0.724 0.724 Zr
0.000 0.057 0.406 Zr
0.000 0.832 0.168 Zr
0.000 0.943 0.594 Zr
0.500 0.054 0.207 Zn
0.500 0.157 0.630 Zn
0.500 0.207 0.054 Zn
0.500 0.500 0.500 Zn
0.500 0.370 0.843 Zn
0.500 0.793 0.946 Zn
0.500 0.843 0.370 Zn
0.500 0.946 0.793 Zn
0.500 0.630 0.157 Zn
0.500 0.443 0.246 Pt
0.500 0.246 0.443 Pt
0.500 0.754 0.557 Pt
0.500 0.557 0.754 Pt
```

Properties
- DFT formation energy (meV per atom) = -519
- final energy (eV per atom) = -5.92
- density of states at the Fermi level (states/eV/f.u.) = 13.76


Entry 10:
A geometry-optimized Zr6ZnPt structure, computed with PBE.

```
Zr6ZnPt
1.0
7.270 4.860 0.222
2.770 7.143 4.222
-3.856 -7.850 0.143
Zr Pt Zn
6 1 1
direct
0.887 0.387 0.500 Zr
0.613 0.113 0.500 Zr
0.387 0.887 0.500 Zr
0.749 0.749 0.000 Zr
0.251 0.251 0.000 Zr
0.113 0.613 0.500 Zr
0.000 0.000 0.000 Pt
0.500 0.500 0.000 Zn
```

Properties
- DFT formation energy (meV per atom) = -325
- final energy (eV per atom) = -7.65
- density of states at the Fermi level (states/eV/f.u.) = 6.83